RbAgOF2 | GGA-PBEsol | relaxed

Properties
Volume in A^3/atom: 15.576
Theoretical density in g/cm3: 5.274
Density of states at the Fermi level in states/eV per cell: 2.27
Magnetic moment in μB per cell: 0.8
Polymorph energy (0 for the lowest one) in eV/atom: 0.000
Energy relative to the elements, uncorrected in eV/atom: -1.3173
Crystal system: tetragonal

a b c (Å): 3.912 4.462 4.462
angles (deg): 90.00 90.00 90.00
Fractional positions:
Rb 0.500 0.500 0.500
F 0.000 0.500 0.000
O 0.500 0.000 0.000
F 0.000 0.000 0.500
Ag 0.000 0.000 0.000